Entry 1:
Below is an optimized crystal structure of GeSeN3, with properties calculated at the GGA-PBE level.

```
data_GeSeN3
_chemical_formula_sum 'Ge1 Se1 N3'
_space_group_name_H-M_alt 'P m -3 m'
_space_group_IT_number 221
_space_group_name_Hall '-P 4 2 3'
_cell_length_a 3.809
_cell_length_b 3.809
_cell_length_c 3.809
_cell_angle_alpha 90.00
_cell_angle_beta 90.00
_cell_angle_gamma 90.00
loop_
_atom_site_label
_atom_site_type_symbol
_atom_site_fract_x
_atom_site_fract_y
_atom_site_fract_z
_atom_site_occupancy
Ge1 Ge 0.000 0.000 0.000 1
Se1 Se 0.500 0.500 0.500 1
N1 N 0.000 0.000 0.500 1
```

Calculated values
Formation energy (no corrections) ... 1.719 eV/atom

=====

Entry 2:
Below is an optimized crystal structure of Sc3TiP, with properties calculated at the GGA-PBE level.

```
data_Sc3TiP
_chemical_formula_sum 'Sc3 Ti1 P1'
_space_group_name_H-M_alt 'P m -3 m'
_space_group_IT_number 221
_space_group_name_Hall '-P 4 2 3'
_cell_length_a 4.861
_cell_length_b 4.861
_cell_length_c 4.861
_cell_angle_alpha 90.00
_cell_angle_beta 90.00
_cell_angle_gamma 90.00
loop_
_atom_site_label
_atom_site_type_symbol
_atom_site_fract_x
_atom_site_fract_y
_atom_site_fract_z
_atom_site_occupancy
Sc1 Sc 0.000 0.000 0.500 1
Ti1 Ti 0.000 0.000 0.000 1
P1 P 0.500 0.500 0.500 1
```

Calculated values
ΔE to the lowest computed polymorph ... 807 meV/atom
Formation energy from the elements ... 0.66 eV/atom

=====

Entry 3:
Below is an optimized crystal structure of RePdRh3, with properties calculated at the GGA-PBE level.

```
data_RePdRh3
_chemical_formula_sum 'Re4 Pd4 Rh12'
_space_group_name_H-M_alt 'C m c m'
_space_group_IT_number 63
_space_group_name_Hall '-C 2c 2'
_cell_length_a 3.854
_cell_length_b 11.359
_cell_length_c 7.467
_cell_angle_alpha 90.00
_cell_angle_beta 90.00
_cell_angle_gamma 90.00
loop_
_atom_site_label
_atom_site_type_symbol
_atom_site_fract_x
_atom_site_fract_y
_atom_site_fract_z
_atom_site_occupancy
Re1 Re 0.000 0.183 0.250 1
Pd1 Pd 0.000 0.000 0.000 1
Rh1 Rh 0.000 0.165 0.750 1
Rh2 Rh 0.000 0.338 0.515 1
```

Calculated values
ΔE to the lowest computed polymorph ... 67 meV/atom
Formation energy from the elements ... 0.31 eV/atom

=====

Entry 4:
Below is an optimized crystal structure of MgFeBr2, with properties calculated at the GGA-PBE level.

```
data_MgFeBr2
_chemical_formula_sum 'Mg2 Fe2 Br4'
_space_group_name_H-M_alt 'I m m m'
_space_group_IT_number 71
_space_group_name_Hall '-I 2 2'
_cell_length_a 3.650
_cell_length_b 4.160
_cell_length_c 13.951
_cell_angle_alpha 90.00
_cell_angle_beta 90.00
_cell_angle_gamma 90.00
loop_
_atom_site_label
_atom_site_type_symbol
_atom_site_fract_x
_atom_site_fract_y
_atom_site_fract_z
_atom_site_occupancy
Mg1 Mg 0.000 0.000 0.000 1
Fe1 Fe 0.000 0.000 0.500 1
Br1 Br 0.000 0.500 0.132 1
```

Calculated values
ΔE to the lowest computed polymorph ... 15 meV/atom
Formation energy (no corrections) ... -0.278 eV/atom

=====

Entry 5:
Below is an optimized crystal structure of Dy12HoEr7, with properties calculated at the GGA-PBE level.

```
data_Dy12HoEr7
_chemical_formula_sum 'Dy36 Ho3 Er21'
_space_group_name_H-M_alt 'R -3'
_space_group_IT_number 148
_space_group_name_Hall '-R 3'
_cell_length_a 18.4340
_cell_length_b 18.4340
_cell_length_c 6.6207
_cell_angle_alpha 90.00
_cell_angle_beta 90.00
_cell_angle_gamma 120.00
loop_
_atom_site_label
_atom_site_type_symbol
_atom_site_fract_x
_atom_site_fract_y
_atom_site_fract_z
_atom_site_occupancy
Dy1 Dy 0.0005 0.2115 0.2823 1
Dy2 Dy 0.0062 0.5349 0.7409 1
Ho1 Ho 0.0000 0.0000 0.0000 1
Er1 Er 0.0000 0.0000 0.5000 1
Er2 Er 0.0080 0.1558 0.7797 1
```

Calculated values
ΔE to the lowest computed polymorph ... 29 meV/atom
Formation energy from the elements ... 0.33 eV/atom

=====

Entry 6:
Below is an optimized crystal structure of MgCdSi2, with properties calculated at the GGA-PBE level.

```
data_MgCdSi2
_chemical_formula_sum 'Mg2 Cd2 Si4'
_space_group_name_H-M_alt 'C m m 2'
_space_group_IT_number 35
_cell_length_a 4.433
_cell_length_b 4.586
_cell_length_c 7.441
_cell_angle_alpha 90.00
_cell_angle_beta 90.00
_cell_angle_gamma 90.00
loop_
_space_group_symop_operation_xyz
'x,y,z'
'-x,-y,z'
'-x,y,z'
'x,-y,z'
'x+1/2,y+1/2,z'
'-x+1/2,-y+1/2,z'
'-x+1/2,y+1/2,z'
'x+1/2,-y+1/2,z'
loop_
_atom_site_label
_atom_site_type_symbol
_atom_site_fract_x
_atom_site_fract_y
_atom_site_fract_z
_atom_site_occupancy
Mg1 Mg 0.000 0.000 0.000 1
Cd1 Cd 0.000 0.500 0.292 1
Si1 Si 0.000 0.000 0.588 1
Si2 Si 0.000 0.500 0.746 1
```

Calculated values
ΔE to the lowest computed polymorph ... 16 meV/atom
Formation energy (no corrections) ... 0.230 eV/atom

=====

Entry 7:
Below is an optimized crystal structure of AcSi2IrRu, with properties calculated at the GGA-PBE level.

```
data_AcSi2IrRu
_chemical_formula_sum 'Ac2 Si4 Ir2 Ru2'
_space_group_name_H-M_alt 'I -4 m 2'
_space_group_IT_number 119
_space_group_name_Hall 'I -4 -2'
_cell_length_a 4.230
_cell_length_b 4.230
_cell_length_c 10.555
_cell_angle_alpha 90.00
_cell_angle_beta 90.00
_cell_angle_gamma 90.00
loop_
_atom_site_label
_atom_site_type_symbol
_atom_site_fract_x
_atom_site_fract_y
_atom_site_fract_z
_atom_site_occupancy
Ac1 Ac 0.000 0.000 0.000 1
Si1 Si 0.000 0.000 0.360 1
Ir1 Ir 0.000 0.500 0.250 1
Ru1 Ru 0.000 0.500 0.750 1
```

Calculated values
Formation energy (no corrections) ... -0.917 eV/atom

=====

Entry 8:
Below is an optimized crystal structure of Cs2K2H, with properties calculated at the GGA-PBE level.

```
data_Cs2K2H
_chemical_formula_sum 'Cs4 K4 H2'
_space_group_name_H-M_alt 'P 4/m b m'
_space_group_IT_number 127
_space_group_name_Hall '-P 4 2ab'
_cell_length_a 8.644
_cell_length_b 8.644
_cell_length_c 9.171
_cell_angle_alpha 90.00
_cell_angle_beta 90.00
_cell_angle_gamma 90.00
loop_
_atom_site_label
_atom_site_type_symbol
_atom_site_fract_x
_atom_site_fract_y
_atom_site_fract_z
_atom_site_occupancy
Cs1 Cs 0.218 0.282 0.000 1
K1 K 0.177 0.677 0.500 1
H1 H 0.000 0.000 0.000 1
```

Calculated values
ΔE to the lowest computed polymorph ... 0 meV/atom

=====

Number 1: DFT total energy -4.8968 eV/atom. Number 2: DFT total energy -5.8026 eV/atom. Number 3: DFT total energy -7.6313 eV/atom. Number 4: DFT total energy -3.6286 eV/atom. Number 5: DFT total energy -4.2562 eV/atom. Number 6: DFT total energy -3.1087 eV/atom. Number 7: DFT total energy -7.5348 eV/atom. Number 8: DFT total energy -1.3830 eV/atom.